Entry 1:
Crystalline CsLi2CrO4 at its relaxed geometry. Source: Alexandria via LeMat-Bulk, functional GGA+U.

Output
total energy = -5.657 eV/atom
SG = No. 121

Geometry as CIF:
```
data_CsLi2CrO4
_chemical_formula_sum 'Cs1 Li2 Cr1 O4'
_cell_length_a 5.5101
_cell_length_b 5.5101
_cell_length_c 5.5101
_cell_angle_alpha 119.21
_cell_angle_beta 119.21
_cell_angle_gamma 91.37
_symmetry_space_group_name_H-M 'P 1'
_symmetry_Int_Tables_number 1
_symmetry_space_group_name_Hall 'P 1'
loop_
_atom_site_label
_atom_site_fract_x
_atom_site_fract_y
_atom_site_fract_z
O1 0.6870 0.6870 0.6552
O2 0.3130 0.9682 0.0000
O3 0.0318 0.0318 0.3448
O4 0.9682 0.3130 0.0000
Cs1 0.5000 0.5000 0.0000
Li1 0.7500 0.2500 0.5000
Li2 0.2500 0.7500 0.5000
Cr1 0.0000 0.0000 0.0000
```

***

Entry 2:
Crystalline CsLiCrO4 at its relaxed geometry. Source: Alexandria via LeMat-Bulk, functional GGA+U.

Output
excess energy over the best structure of this formula in the dataset = 0.031 eV per atom
SG = No. 82

Geometry as CIF:
```
data_CsLiCrO4
_chemical_formula_sum 'Cs1 Li1 Cr1 O4'
_cell_length_a 5.9205
_cell_length_b 5.9205
_cell_length_c 5.9179
_cell_angle_alpha 120.01
_cell_angle_beta 120.01
_cell_angle_gamma 90.00
_symmetry_space_group_name_H-M 'P 1'
_symmetry_Int_Tables_number 1
_symmetry_space_group_name_Hall 'P 1'
loop_
_atom_site_label
_atom_site_fract_x
_atom_site_fract_y
_atom_site_fract_z
O1 0.3625 0.6726 0.2707
O2 0.4019 0.6375 0.7293
O3 0.9083 0.5981 0.2707
O4 0.3274 0.0917 0.7293
Li1 0.5000 0.5000 0.0000
Cr1 0.2500 0.7500 0.5000
Cs1 0.0000 0.0000 0.0000
```